Entry 1:
# La2YHo

La2YHo after structural relaxation (PBE-GGA, Alexandria).

a = 8.218 Å, b = 8.218 Å, c = 8.218 Å
α = 90.00°, β = 90.00°, γ = 90.00°
Space group Fm-3m (No. 225)
Unique sites:
1 La 0.250 0.250 0.250
2 Y 0.000 0.000 0.000
3 Ho 0.000 0.000 0.500

Values from the calculation:
ΔE_f = 0.0795 eV/atom
Offset from the most stable computed form = 69 meV/atom


Entry 2:
# La4YHo5

La4YHo5 after structural relaxation (PBE-GGA, Alexandria).

a = 10.755 Å, b = 10.755 Å, c = 6.044 Å
α = 90.00°, β = 90.00°, γ = 90.00°
Space group I4mm (No. 107)
Unique sites:
1 La 0.000 0.324 0.000
2 Y 0.000 0.000 0.745
3 Ho 0.000 0.000 0.224
4 Ho 0.189 0.189 0.481

Values from the calculation:
ΔE_f = 0.2338 eV/atom
Offset from the most stable computed form = 38 meV/atom


Entry 3:
# LaYHo

LaYHo after structural relaxation (PBE-GGA, Alexandria).

a = 5.6022 Å, b = 5.6022 Å, c = 24.4977 Å
α = 90.00°, β = 90.00°, γ = 120.00°
Space group R-3m (No. 166, hexagonal axes)
Unique sites:
1 La 0.0000 0.0000 0.2094
2 Y 0.0000 0.0000 0.0628
3 Ho 0.0000 0.0000 0.3571

Values from the calculation:
ΔE_f = 0.3241 eV/atom
Offset from the most stable computed form = 297 meV/atom


Entry 4:
# LaY5Ho2

LaY5Ho2 after structural relaxation (PBE-GGA, Alexandria).

a = 7.175 Å, b = 14.364 Å, c = 5.052 Å
α = 90.00°, β = 90.00°, γ = 90.00°
Space group Pbam (No. 55)
Unique sites:
1 La 0.000 0.000 0.000
2 Y 0.000 0.500 0.000
3 Y 0.001 0.252 0.000
4 Y 0.249 0.626 0.500
5 Ho 0.250 0.374 0.500

Values from the calculation:
ΔE_f = 0.0268 eV/atom
Offset from the most stable computed form = 3 meV/atom


Entry 5:
# La8YHo6

La8YHo6 after structural relaxation (PBE-GGA, Alexandria).

a = 9.4535 Å, b = 9.4535 Å, c = 6.6801 Å
α = 90.00°, β = 90.00°, γ = 120.00°
Space group P-3 (No. 147)
Unique sites:
1 La 0.0436 0.7490 0.1664
2 La 0.3333 0.6667 0.1209
3 Y 0.0000 0.0000 0.5000
4 Ho 0.0979 0.6619 0.6506

Values from the calculation:
ΔE_f = 0.1641 eV/atom


Entry 6:
# La3Y8Ho

La3Y8Ho after structural relaxation (PBE-GGA, Alexandria).

a = 8.863 Å, b = 8.863 Å, c = 11.410 Å
α = 90.00°, β = 90.00°, γ = 90.00°
Space group I-42m (No. 121)
Unique sites:
1 La 0.000 0.000 0.000
2 La 0.000 0.500 0.250
3 Y 0.124 0.124 0.744
4 Y 0.243 0.243 0.486
5 Ho 0.000 0.000 0.500

Values from the calculation:
ΔE_f = 0.6068 eV/atom


Repeat the fifth record exactly.
# La8YHo6

La8YHo6 after structural relaxation (PBE-GGA, Alexandria).

a = 9.4535 Å, b = 9.4535 Å, c = 6.6801 Å
α = 90.00°, β = 90.00°, γ = 120.00°
Space group P-3 (No. 147)
Unique sites:
1 La 0.0436 0.7490 0.1664
2 La 0.3333 0.6667 0.1209
3 Y 0.0000 0.0000 0.5000
4 Ho 0.0979 0.6619 0.6506

Values from the calculation:
ΔE_f = 0.1641 eV/atom


Q: Number 5 is which compound?
A: La8YHo6